A relaxed structure of KRbHgAu2, computed with GGA-PBE.

```
KRbHgAu2
1.0
-2.3852 2.4365 7.2339
2.3852 -2.4365 7.2339
2.3852 2.4365 -7.2339
K Rb Hg Au
1 1 1 2
Direct
0.0000 0.0000 0.0000
0.7241 0.2241 0.5000
0.3468 0.8468 0.5000
0.1457 0.6457 0.5000
0.5274 0.5274 0.0000
```



A relaxed structure of K4Rb2HgAu, computed with GGA-PBE.

```
K4Rb2HgAu
1.0
-4.4670 6.6624 7.8051
4.4670 -6.6624 7.8051
4.4670 6.6624 -7.8051
K Rb Hg Au
8 4 2 2
Direct
0.2857 0.2558 0.4701
0.2857 0.8156 0.0299
0.2914 0.2242 0.0672
0.3430 0.7758 0.5672
0.6570 0.2242 0.4328
0.7086 0.7758 0.9328
0.7143 0.1844 0.9701
0.7143 0.7442 0.5299
0.0000 0.0000 0.5000
0.0000 0.5000 0.0000
0.0000 0.5000 0.5000
0.5000 0.5000 0.0000
0.0000 0.0000 0.0000
0.5000 0.0000 0.5000
0.5000 0.0000 0.0000
0.5000 0.5000 0.5000
```



no.,calculated formation energy (eV per atom),E_tot (eV/atom),size of the total moment (μB/atom)
1,-0.228,-2.01,0.000
2,-0.078,-1.32,0.000